[1]
DFT (GGA-PBE) results for crystalline BeSiTe at its relaxed geometry.

Unit cell a=3.8698 b=5.9158 c=11.2871 alpha=90.00 beta=90.00 gamma=90.00
Space group Fmm2 (No. 42)
Inequivalent atoms, fractional coordinates:
Be 0.0000 0.0000 0.0000 [4 per cell]
Si 0.0000 0.0000 0.6001 [4 per cell]
Te 0.0000 0.0000 0.3605 [4 per cell]

Uncorrected formation energy in kJ/mol of formula units: 158

[2]
DFT (GGA-PBE) results for crystalline Pm4Nd2DyEr2 at its relaxed geometry.

Unit cell a=15.3632 b=5.1198 c=8.0552 alpha=90.00 beta=108.58 gamma=90.00
Space group C2/m (No. 12)
Inequivalent atoms, fractional coordinates:
Pm 0.0553 0.0000 0.3302 [4 per cell]
Pm 0.2216 0.5000 0.3302 [4 per cell]
Nd 0.1116 0.5000 0.6692 [4 per cell]
Dy 0.0000 0.5000 0.0000 [2 per cell]
Er 0.1669 0.0000 0.0002 [4 per cell]

ΔE_f in kJ/mol of atoms: 2

[3]
DFT (GGA-PBE) results for crystalline Nd5Dy7 at its relaxed geometry.

Unit cell a=18.7499 b=3.6180 c=13.2303 alpha=90.00 beta=118.16 gamma=90.00
Space group C2/m (No. 12)
Inequivalent atoms, fractional coordinates:
Nd 0.0000 0.0000 0.0000 [2 per cell]
Nd 0.1653 0.0000 0.4979 [4 per cell]
Nd 0.1949 0.5000 0.7512 [4 per cell]
Dy 0.0000 0.5000 0.5000 [2 per cell]
Dy 0.0276 0.0000 0.7504 [4 per cell]
Dy 0.1376 0.5000 0.2484 [4 per cell]
Dy 0.1661 0.5000 0.9973 [4 per cell]

ΔE_f in kJ/mol of atoms: 0

[4]
DFT (GGA-PBE) results for crystalline BaSi3C at its relaxed geometry.

Unit cell a=5.8752 b=5.8752 c=5.8752 alpha=90.00 beta=90.00 gamma=90.00
Space group Pm-3m (No. 221)
Inequivalent atoms, fractional coordinates:
Ba 0.0000 0.0000 0.0000 [1 per cell]
Si 0.0000 0.0000 0.5000 [3 per cell]
C 0.5000 0.5000 0.5000 [1 per cell]

Uncorrected formation energy in kJ/mol of formula units: 1502

[5]
DFT (GGA-PBE) results for crystalline AlRu2Cl2 at its relaxed geometry.

Unit cell a=6.4432 b=6.4432 c=4.5934 alpha=90.00 beta=90.00 gamma=90.00
Space group P4/mbm (No. 127)
Inequivalent atoms, fractional coordinates:
Al 0.0000 0.0000 0.0000 [2 per cell]
Ru 0.1310 0.3690 0.0000 [4 per cell]
Cl 0.1897 0.3103 0.5000 [4 per cell]

Uncorrected formation energy in kJ/mol of formula units: 82

[6]
DFT (GGA-PBE) results for crystalline Ag12Pd5Pt2 at its relaxed geometry.

Unit cell a=12.7410 b=7.6863 c=6.8345 alpha=90.00 beta=90.95 gamma=90.00
Space group C2/m (No. 12)
Inequivalent atoms, fractional coordinates:
Ag 0.0595 0.0000 0.3340 [4 per cell]
Ag 0.0882 0.5000 0.8854 [4 per cell]
Ag 0.1267 0.1969 0.6639 [8 per cell]
Ag 0.1561 0.3169 0.2444 [8 per cell]
Pd 0.0000 0.5000 0.5000 [2 per cell]
Pd 0.1950 0.0000 0.0103 [4 per cell]
Pd 0.2320 0.5000 0.5791 [4 per cell]
Pt 0.0000 0.1794 0.0000 [4 per cell]

ΔE_f in kJ/mol of atoms: 7

[7]
DFT (GGA-PBE) results for crystalline Sc2ZnInC at its relaxed geometry.

Unit cell a=4.5794 b=4.5794 c=4.1609 alpha=90.00 beta=90.00 gamma=90.00
Space group P4/mmm (No. 123)
Inequivalent atoms, fractional coordinates:
Sc 0.0000 0.5000 0.0000 [2 per cell]
Zn 0.0000 0.0000 0.5000 [1 per cell]
In 0.5000 0.5000 0.5000 [1 per cell]
C 0.0000 0.0000 0.0000 [1 per cell]

ΔE_f in kJ/mol of atoms: -30

[8]
DFT (GGA-PBE) results for crystalline Ho7ErTl5 at its relaxed geometry.

Unit cell a=6.4932 b=10.8349 c=10.7774 alpha=90.00 beta=90.00 gamma=90.00
Space group Imm2 (No. 44)
Inequivalent atoms, fractional coordinates:
Ho 0.0000 0.0000 0.0000 [2 per cell]
Ho 0.0000 0.0000 0.3204 [2 per cell]
Ho 0.0000 0.3102 0.1177 [4 per cell]
Ho 0.0000 0.3401 0.6338 [4 per cell]
Ho 0.0000 0.5000 0.3599 [2 per cell]
Er 0.0000 0.0000 0.6628 [2 per cell]
Tl 0.0000 0.5000 0.8912 [2 per cell]
Tl 0.2486 0.2375 0.8741 [8 per cell]

ΔE_f in kJ/mol of atoms: -12

| no. | E (eV per atom) |
| --- | --- |
| 1 | -3.552 |
| 2 | -4.676 |
| 3 | -4.667 |
| 4 | -2.369 |
| 5 | -5.028 |
| 6 | -3.728 |
| 7 | -5.492 |
| 8 | -3.853 |